Entry 1:
DFT (PBE) results for a relaxed ReMoPd crystal.

Cell and atoms, written as CIF:
```
data_ReMoPd
_space_group_name_H-M_alt 'P 1'
_space_group_IT_number 1
_space_group_name_Hall 'P 1'
_cell_length_a 2.754
_cell_length_b 2.754
_cell_length_c 6.354
_cell_angle_alpha 102.52
_cell_angle_beta 102.52
_cell_angle_gamma 90.00
loop_
_atom_site_label
_atom_site_type_symbol
_atom_site_fract_x
_atom_site_fract_y
_atom_site_fract_z
Re1 Re 0.668 0.668 0.337
Mo1 Mo 0.330 0.330 0.660
Pd1 Pd 0.001 0.001 0.003
```

Summary:
Its crystal system is tetragonal. The value obtained for the polymorph energy (0 for the lowest one) is 104 meV/atom.

=====

Entry 2:
DFT (PBE) results for a relaxed BaLi2GaS4 crystal.

Cell and atoms, written as CIF:
```
data_BaLi2GaS4
_space_group_name_H-M_alt 'P 1'
_space_group_IT_number 1
_space_group_name_Hall 'P 1'
_cell_length_a 6.720
_cell_length_b 6.255
_cell_length_c 6.255
_cell_angle_alpha 81.10
_cell_angle_beta 57.51
_cell_angle_gamma 57.51
loop_
_atom_site_label
_atom_site_type_symbol
_atom_site_fract_x
_atom_site_fract_y
_atom_site_fract_z
S1 S 0.607 0.534 0.860
S2 S 0.000 0.466 0.140
Ga1 Ga 0.000 0.500 0.500
Li1 Li 0.500 0.750 0.250
Ba1 Ba 0.000 0.000 0.000
Li2 Li 0.500 0.250 0.750
S3 S 0.000 0.860 0.534
S4 S 0.393 0.140 0.466
```

Summary:
The value obtained for the energy relative to the elements, uncorrected is -1.16 eV/atom. Its crystal system is tetragonal.

=====

Entry 3:
DFT (PBE) results for a relaxed CaPrNdOs crystal.

Cell and atoms, written as CIF:
```
data_CaPrNdOs
_space_group_name_H-M_alt 'P 1'
_space_group_IT_number 1
_space_group_name_Hall 'P 1'
_cell_length_a 5.275
_cell_length_b 5.275
_cell_length_c 5.275
_cell_angle_alpha 60.00
_cell_angle_beta 60.00
_cell_angle_gamma 60.00
loop_
_atom_site_label
_atom_site_type_symbol
_atom_site_fract_x
_atom_site_fract_y
_atom_site_fract_z
Ca1 Ca 0.750 0.750 0.750
Os1 Os 0.250 0.250 0.250
Nd1 Nd 0.000 0.000 0.000
Pr1 Pr 0.500 0.500 0.500
```

Summary:
Its uncorrected energy is -21.92 eV for the cell shown. Its crystal system is cubic.

=====

Entry 4:
DFT (PBE) results for a relaxed HfAlNi3 crystal.

Cell and atoms, written as CIF:
```
data_HfAlNi3
_space_group_name_H-M_alt 'P 1'
_space_group_IT_number 1
_space_group_name_Hall 'P 1'
_cell_length_a 4.245
_cell_length_b 4.245
_cell_length_c 4.245
_cell_angle_alpha 90.00
_cell_angle_beta 90.00
_cell_angle_gamma 90.00
loop_
_atom_site_label
_atom_site_type_symbol
_atom_site_fract_x
_atom_site_fract_y
_atom_site_fract_z
Al1 Al 0.000 0.000 0.000
Ni1 Ni 0.500 0.000 0.000
Ni2 Ni 0.000 0.500 0.000
Hf1 Hf 0.500 0.500 0.500
Ni3 Ni 0.000 0.000 0.500
```

Summary:
Its crystal system is cubic. The value obtained for the polymorph energy (0 for the lowest one) is 501 meV/atom.

=====

Entry 5:
DFT (PBE) results for a relaxed PmNdCu2 crystal.

Cell and atoms, written as CIF:
```
data_PmNdCu2
_space_group_name_H-M_alt 'P 1'
_space_group_IT_number 1
_space_group_name_Hall 'P 1'
_cell_length_a 3.922
_cell_length_b 4.536
_cell_length_c 5.675
_cell_angle_alpha 90.00
_cell_angle_beta 111.30
_cell_angle_gamma 90.00
loop_
_atom_site_label
_atom_site_type_symbol
_atom_site_fract_x
_atom_site_fract_y
_atom_site_fract_z
Cu1 Cu 0.153 0.500 0.836
Cu2 Cu 0.012 0.000 0.571
Pm1 Pm 0.441 0.500 0.421
Nd1 Nd 0.726 0.000 0.989
```

Summary:
Its crystal system is monoclinic. The value obtained for the polymorph energy (0 for the lowest one) is 0 meV/atom.

=====

Entry 6:
DFT (PBE) results for a relaxed Sr2Pb2F7 crystal.

Cell and atoms, written as CIF:
```
data_Sr2Pb2F7
_space_group_name_H-M_alt 'P 1'
_space_group_IT_number 1
_space_group_name_Hall 'P 1'
_cell_length_a 5.837
_cell_length_b 6.247
_cell_length_c 5.837
_cell_angle_alpha 90.00
_cell_angle_beta 96.91
_cell_angle_gamma 90.00
loop_
_atom_site_label
_atom_site_type_symbol
_atom_site_fract_x
_atom_site_fract_y
_atom_site_fract_z
F1 F 0.500 0.778 0.500
F2 F 0.500 0.222 0.500
F3 F 0.000 0.257 0.500
Pb1 Pb 0.252 0.500 0.252
F4 F 0.000 0.743 0.500
F5 F 0.000 0.000 0.000
Pb2 Pb 0.748 0.500 0.748
F6 F 0.500 0.743 0.000
F7 F 0.500 0.257 0.000
Sr1 Sr 0.268 0.000 0.732
Sr2 Sr 0.732 0.000 0.268
```

Summary:
The value obtained for the energy relative to the elements, uncorrected is -2.97 eV/atom. Its crystal system is orthorhombic.